Model a:
Density functional theory data (PBE-GGA) for an optimized crystal structure of KInN.

Output
- crystal system = monoclinic
- space group = C2/m (12)

Cell lengths 7.5552, 3.6185, 12.9865 Å; angles 90.00, 136.20, 90.00 degrees
Closest atoms and distances in Å follow each position.
Sites, in units of the cell vectors:
K1 0.2656 0.0000 0.0740  1 K 2.94, 5 N 3.05-3.28
K2 0.7344 0.0000 0.9260  1 K 2.94, 5 N 3.05-3.28
K3 0.2656 0.5000 0.5740  1 K 2.94, 5 N 3.05-3.28
K4 0.7344 0.5000 0.4260  1 K 2.94, 5 N 3.05-3.28
N1 0.1131 0.0000 0.6971  3 In 2.24-2.34
N2 0.8869 0.0000 0.3029  3 In 2.24-2.34
N3 0.1131 0.5000 0.1971  3 In 2.24-2.34
N4 0.8869 0.5000 0.8029  3 In 2.24-2.34
In1 0.2376 0.0000 0.3378  3 N 2.24-2.34
In2 0.7624 0.0000 0.6622  3 N 2.24-2.34
In3 0.2376 0.5000 0.8378  3 N 2.24-2.34
In4 0.7624 0.5000 0.1622  3 N 2.24-2.34

Model b:
Density functional theory data (PBE-GGA) for an optimized crystal structure of KInN.

Output
- crystal system = triclinic
- space group = P-1 (2)
- Fermi-level density of states (states/eV/cell) = 3.911

Cell lengths 4.1811, 3.5181, 12.0872 Å; angles 98.34, 118.49, 90.22 degrees
Closest atoms and distances in Å follow each position.
Sites, in units of the cell vectors:
K1 0.8384 0.5550 0.6027  6 N 2.99-3.26
K2 0.4649 0.7324 0.9640  6 N 2.99-3.26
In1 0.0052 0.9320 0.3591  6 In 3.15-3.52
In2 0.2974 0.3556 0.2076  6 In 3.15-3.52
N1 0.4928 0.1244 0.7483  1 N 1.18
N2 0.8110 0.1627 0.8186  1 N 1.18

Model c:
Density functional theory data (PBE-GGA) for an optimized crystal structure of KInN.

Output
- crystal system = monoclinic
- space group = C2/m (12)
- Fermi-level density of states (states/eV/cell) = 0.144

Cell lengths 6.6678, 3.6935, 10.5705 Å; angles 90.00, 98.56, 90.00 degrees
Closest atoms and distances in Å follow each position.
Sites, in units of the cell vectors:
K1 0.1359 0.0000 0.8710  3 N 2.86-2.87
K2 0.8641 0.0000 0.1290  3 N 2.86-2.87
K3 0.1359 0.5000 0.3710  3 N 2.86-2.87
K4 0.8641 0.5000 0.6290  3 N 2.86-2.87
N1 0.7050 0.0000 0.7970  3 In 2.24-2.34
N2 0.2950 0.0000 0.2030  3 In 2.24-2.34
N3 0.7050 0.5000 0.2970  3 In 2.24-2.34
N4 0.2950 0.5000 0.7030  3 In 2.24-2.34
In1 0.5688 0.0000 0.3692  3 N 2.24-2.34
In2 0.4312 0.0000 0.6308  3 N 2.24-2.34
In3 0.5688 0.5000 0.8692  3 N 2.24-2.34
In4 0.4312 0.5000 0.1308  3 N 2.24-2.34

model b takes first place; second place is 15.0 kJ/mol of atoms up.

Model a:
Density functional theory data (PBE-GGA) for an optimized crystal structure of K2InN.

Output
- crystal system = cubic
- space group = Fm-3m (225)
- Fermi-level density of states (states/eV/cell) = 0.000

Cell lengths 5.3363, 5.3363, 5.3363 Å; angles 60.00, 60.00, 60.00 degrees
Closest atoms and distances in Å follow each position.
Sites, in units of the cell vectors:
K1 0.2500 0.2500 0.2500  4 In 3.27, 4 N 3.27
K2 0.7500 0.7500 0.7500  4 In 3.27, 4 N 3.27
N1 0.0000 0.0000 0.0000  8 K 3.27
In1 0.5000 0.5000 0.5000  8 K 3.27

Model b:
Density functional theory data (PBE-GGA) for an optimized crystal structure of K2InN.

Output
- crystal system = tetragonal
- space group = I-42d (122)
- Fermi-level density of states (states/eV/cell) = 5.452

Cell lengths 11.8407, 11.8407, 8.6472 Å; angles 46.79, 46.79, 90.00 degrees
Closest atoms and distances in Å follow each position.
Sites, in units of the cell vectors:
K1 0.4309 0.1250 0.2500  2 N 3.08, 2 In 3.44
K2 0.3191 0.6250 0.2500  2 N 3.08, 2 In 3.44
K3 0.3750 0.5691 0.7500  2 N 3.08, 2 In 3.44
K4 0.8750 0.6809 0.7500  2 N 3.08, 2 In 3.44
N1 0.5000 0.5000 0.0000  2 In 2.16
N2 0.2500 0.7500 0.5000  2 In 2.16
In1 0.0000 0.0000 0.0000  2 N 2.16
In2 0.7500 0.2500 0.5000  2 N 2.16

model b takes first place; second place is 55.9 kJ/mol of atoms up.

Model a:
Density functional theory data (PBE-GGA) for an optimized crystal structure of KIn3N.

Output
- crystal system = cubic
- space group = Pm-3m (221)
- Fermi-level density of states (states/eV/cell) = 3.529

Cell lengths 5.0658, 5.0658, 5.0658 Å; angles 90.00, 90.00, 90.00 degrees
Closest atoms and distances in Å follow each position.
Sites, in units of the cell vectors:
K1 0.5000 0.5000 0.5000  12 In 3.58
N1 0.0000 0.0000 0.0000  6 In 2.53
In1 0.0000 0.5000 0.0000  2 N 2.53
In2 0.0000 0.0000 0.5000  2 N 2.53
In3 0.5000 0.0000 0.0000  2 N 2.53

Model b:
Density functional theory data (PBE-GGA) for an optimized crystal structure of KIn3N.

Output
- crystal system = cubic
- space group = Pm-3m (221)
- Fermi-level density of states (states/eV/cell) = 6.138

Cell lengths 6.1170, 6.1170, 6.1170 Å; angles 90.00, 90.00, 90.00 degrees
Closest atoms and distances in Å follow each position.
Sites, in units of the cell vectors:
K1 0.0000 0.0000 0.0000  6 In 3.06
N1 0.5000 0.5000 0.5000  12 In 4.33
In1 0.0000 0.5000 0.0000  2 K 3.06
In2 0.0000 0.0000 0.5000  2 K 3.06
In3 0.5000 0.0000 0.0000  2 K 3.06

model a takes first place; second place is 140.9 kJ/mol of atoms up.

Model a:
Density functional theory data (PBE-GGA) for an optimized crystal structure of KInSN2.

Output
- crystal system = tetragonal
- space group = P4/mmm (123)
- Fermi-level density of states (states/eV/cell) = 2.656

Cell lengths 4.5061, 4.5061, 5.2381 Å; angles 90.00, 90.00, 90.00 degrees
Closest atoms and distances in Å follow each position.
Sites, in units of the cell vectors:
K1 0.5000 0.5000 0.5000  4 S 3.19, 8 N 3.45
N1 0.0000 0.5000 0.0000  2 In 2.25
N2 0.5000 0.0000 0.0000  2 In 2.25
S1 0.0000 0.0000 0.5000  2 In 2.62
In1 0.0000 0.0000 0.0000  4 N 2.25

Model b:
Density functional theory data (PBE-GGA) for an optimized crystal structure of KInSN2.

Output
- crystal system = tetragonal
- space group = P4/mmm (123)
- Fermi-level density of states (states/eV/cell) = 2.171

Cell lengths 4.8740, 4.8740, 5.9744 Å; angles 90.00, 90.00, 90.00 degrees
Closest atoms and distances in Å follow each position.
Sites, in units of the cell vectors:
K1 0.0000 0.0000 0.0000  4 N 2.44
N1 0.0000 0.5000 0.0000  2 K 2.44
N2 0.5000 0.0000 0.0000  2 K 2.44
S1 0.0000 0.0000 0.5000  2 K 2.99
In1 0.5000 0.5000 0.5000  4 S 3.45, 8 N 3.86

model a takes first place; second place is 93.9 kJ/mol of atoms up.

Model a:
Density functional theory data (PBE-GGA) for an optimized crystal structure of KInSe2N.

Output
- crystal system = tetragonal
- space group = P4/mmm (123)
- Fermi-level density of states (states/eV/cell) = 3.018

Cell lengths 5.5450, 5.5450, 4.3531 Å; angles 90.00, 90.00, 90.00 degrees
Closest atoms and distances in Å follow each position.
Sites, in units of the cell vectors:
K1 0.5000 0.5000 0.5000  8 Se 3.52, 4 N 3.92
N1 0.0000 0.0000 0.5000  2 In 2.18
Se1 0.0000 0.5000 0.0000  2 In 2.77
Se2 0.5000 0.0000 0.0000  2 In 2.77
In1 0.0000 0.0000 0.0000  2 N 2.18

Model b:
Density functional theory data (PBE-GGA) for an optimized crystal structure of KInSe2N.

Output
- crystal system = tetragonal
- space group = P4/mmm (123)
- Fermi-level density of states (states/eV/cell) = 4.285

Cell lengths 6.0175, 6.0175, 5.1253 Å; angles 90.00, 90.00, 90.00 degrees
Closest atoms and distances in Å follow each position.
Sites, in units of the cell vectors:
K1 0.0000 0.0000 0.0000  2 N 2.56
N1 0.0000 0.0000 0.5000  2 K 2.56
Se1 0.0000 0.5000 0.0000  2 K 3.01
Se2 0.5000 0.0000 0.0000  2 K 3.01
In1 0.5000 0.5000 0.5000  8 Se 3.95, 4 N 4.26

model a takes first place; second place is 85.8 kJ/mol of atoms up.

Model a:
Density functional theory data (PBE-GGA) for an optimized crystal structure of K2Na6In.

Output
- crystal system = tetragonal
- space group = P4_2/mnm (136)
- Fermi-level density of states (states/eV/cell) = 14.790

Cell lengths 7.1551, 7.1551, 18.0008 Å; angles 90.00, 90.00, 90.00 degrees
Closest atoms and distances in Å follow each position.
Sites, in units of the cell vectors:
K1 0.5000 0.5000 0.2246  4 Na 3.65-4.02, 1 In 4.04
K2 0.5000 0.5000 0.7754  4 Na 3.65-4.02, 1 In 4.04
K3 0.0000 0.0000 0.2754  4 Na 3.65-4.02, 1 In 4.04
K4 0.0000 0.0000 0.7246  4 Na 3.65-4.02, 1 In 4.04
Na1 0.7728 0.7728 0.0923  1 In 3.22, 3 Na 3.32-3.51
Na2 0.7728 0.7728 0.9077  1 In 3.22, 3 Na 3.32-3.51
Na3 0.7035 0.7035 0.5000  1 In 3.00
Na4 0.7965 0.2035 0.0000  1 In 3.00
Na5 0.7272 0.2728 0.4077  1 In 3.22, 3 Na 3.32-3.51
Na6 0.7272 0.2728 0.5923  1 In 3.22, 3 Na 3.32-3.51
Na7 0.2728 0.7272 0.4077  1 In 3.22, 3 Na 3.32-3.51
Na8 0.2728 0.7272 0.5923  1 In 3.22, 3 Na 3.32-3.51
Na9 0.2035 0.7965 0.0000  1 In 3.00
Na10 0.2965 0.2965 0.5000  1 In 3.00
Na11 0.2272 0.2272 0.0923  1 In 3.22, 3 Na 3.32-3.51
Na12 0.2272 0.2272 0.9077  1 In 3.22, 3 Na 3.32-3.51
In1 0.5000 0.5000 0.0000  6 Na 3.00-3.22
In2 0.0000 0.0000 0.5000  6 Na 3.00-3.22

Model b:
Density functional theory data (PBE-GGA) for an optimized crystal structure of K2Na6In.

Output
- crystal system = monoclinic
- space group = C2/m (12)
- Fermi-level density of states (states/eV/cell) = 2.662

Cell lengths 7.5389, 7.4327, 7.8645 Å; angles 79.65, 90.00, 120.47 degrees
Closest atoms and distances in Å follow each position.
Sites, in units of the cell vectors:
K1 0.6534 0.3067 0.1279  9 Na 3.94-4.10, 1 In 4.34
K2 0.3466 0.6933 0.8721  9 Na 3.94-4.10, 1 In 4.34
Na1 0.8690 0.2447 0.6770  1 In 3.30, 2 Na 3.48-3.69
Na2 0.8736 0.7471 0.6948  1 In 3.16, 2 Na 3.48
Na3 0.3757 0.2447 0.6770  1 In 3.30, 2 Na 3.48-3.69
Na4 0.1310 0.7553 0.3230  1 In 3.30, 2 Na 3.48-3.69
Na5 0.1264 0.2529 0.3052  1 In 3.16, 2 Na 3.48
Na6 0.6243 0.7553 0.3230  1 In 3.30, 2 Na 3.48-3.69
In1 0.0000 0.0000 0.0000  6 Na 3.16-3.30

model b takes first place; second place is 12.9 kJ/mol of atoms up.

Model a:
Density functional theory data (PBE-GGA) for an optimized crystal structure of KNa3In.

Output
- crystal system = cubic
- space group = Pm-3m (221)
- Fermi-level density of states (states/eV/cell) = 3.571

Cell lengths 6.0875, 6.0875, 6.0875 Å; angles 90.00, 90.00, 90.00 degrees
Closest atoms and distances in Å follow each position.
Sites, in units of the cell vectors:
Na1 0.0000 0.5000 0.0000  2 In 3.04
Na2 0.0000 0.0000 0.5000  2 In 3.04
Na3 0.5000 0.0000 0.0000  2 In 3.04
K1 0.5000 0.5000 0.5000  12 Na 4.30
In1 0.0000 0.0000 0.0000  6 Na 3.04

Model b:
Density functional theory data (PBE-GGA) for an optimized crystal structure of KNa3In.

Output
- crystal system = cubic
- space group = Pm-3m (221)
- Fermi-level density of states (states/eV/cell) = 2.820

Cell lengths 6.2410, 6.2410, 6.2410 Å; angles 90.00, 90.00, 90.00 degrees
Closest atoms and distances in Å follow each position.
Sites, in units of the cell vectors:
Na1 0.0000 0.5000 0.0000  2 K 3.12
Na2 0.0000 0.0000 0.5000  2 K 3.12
Na3 0.5000 0.0000 0.0000  2 K 3.12
K1 0.0000 0.0000 0.0000  6 Na 3.12
In1 0.5000 0.5000 0.5000  12 Na 4.41

Model c:
Density functional theory data (PBE-GGA) for an optimized crystal structure of KNa3In.

Output
- crystal system = monoclinic
- space group = C2/c (15)
- Fermi-level density of states (states/eV/cell) = 10.619

Cell lengths 7.7761, 10.5173, 10.5173 Å; angles 68.57, 79.92, 79.92 degrees
Closest atoms and distances in Å follow each position.
Sites, in units of the cell vectors:
K1 0.2500 0.9664 0.0336  2 In 3.73, 4 Na 3.93-4.14, 2 K 3.97
K2 0.7500 0.0336 0.9664  2 In 3.73, 4 Na 3.93-4.14, 2 K 3.97
K3 0.2500 0.3610 0.6390  6 Na 3.89-4.25, 6 In 4.01-4.31
K4 0.7500 0.6390 0.3610  6 Na 3.89-4.25, 6 In 4.01-4.31
Na1 0.6013 0.6440 0.9705  1 In 3.24, 4 Na 3.46-3.61
Na2 0.8987 0.0295 0.3560  1 In 3.24, 4 Na 3.46-3.61
Na3 0.3987 0.3560 0.0295  1 In 3.24, 4 Na 3.46-3.61
Na4 0.1013 0.9705 0.6440  1 In 3.24, 4 Na 3.46-3.61
Na5 0.9214 0.3424 0.0124  1 In 3.25, 2 Na 3.61-3.64
Na6 0.5786 0.9876 0.6576  1 In 3.25, 2 Na 3.61-3.64
Na7 0.0786 0.6576 0.9876  1 In 3.25, 2 Na 3.61-3.64
Na8 0.4214 0.0124 0.3424  1 In 3.25, 2 Na 3.61-3.64
Na9 0.4041 0.6771 0.6758  2 In 3.23-3.27, 2 Na 3.49-3.57
Na10 0.0959 0.3242 0.3229  2 In 3.23-3.27, 2 Na 3.49-3.57
Na11 0.5959 0.3229 0.3242  2 In 3.23-3.27, 2 Na 3.49-3.57
Na12 0.9041 0.6758 0.6771  2 In 3.23-3.27, 2 Na 3.49-3.57
In1 0.6912 0.4086 0.7612  1 In 2.90, 2 Na 3.23-3.24
In2 0.8088 0.2388 0.5914  1 In 2.90, 2 Na 3.23-3.24
In3 0.3088 0.5914 0.2388  1 In 2.90, 2 Na 3.23-3.24
In4 0.1912 0.7612 0.4086  1 In 2.90, 2 Na 3.23-3.24

Model d:
Density functional theory data (PBE-GGA) for an optimized crystal structure of KNa3In.

Output
- crystal system = triclinic
- space group = P1 (1)
- Fermi-level density of states (states/eV/cell) = 5.197

Cell lengths 7.0267, 7.6172, 8.9404 Å; angles 64.11, 67.75, 89.75 degrees
Closest atoms and distances in Å follow each position.
Sites, in units of the cell vectors:
K1 0.2681 0.6302 0.2084  1 In 3.80, 8 Na 3.84-4.08
K2 0.3962 0.9205 0.6169  7 Na 3.94-4.31, 4 In 3.98-4.22
Na1 0.7987 0.9026 0.1276  2 In 3.29-3.32, 3 Na 3.36-3.56
Na2 0.8931 0.1587 0.6398  2 Na 3.25-3.37, 2 In 3.32-3.44
Na3 0.7983 0.4392 0.1211  2 In 3.31-3.37, 4 Na 3.33-3.68
Na4 0.8954 0.6626 0.6348  2 Na 3.23-3.37, 2 In 3.32-3.47
Na5 0.5374 0.2670 0.9294  5 Na 3.15-3.52, 2 In 3.23-3.34
Na6 0.0873 0.1088 0.2561  5 Na 3.15-3.37, 1 In 3.38
In1 0.5728 0.4759 0.5028  1 In 3.00, 3 Na 3.29-3.34
In2 0.1475 0.3197 0.8164  1 In 3.00, 4 Na 3.23-3.32

model c takes first place; second place is 1.9 kJ/mol of atoms up.

Model a:
Density functional theory data (PBE-GGA) for an optimized crystal structure of K2Na3In.

Output
- crystal system = monoclinic
- space group = C2/m (12)
- Fermi-level density of states (states/eV/cell) = 3.512

Cell lengths 7.1198, 7.1198, 6.8900 Å; angles 89.55, 121.71, 119.93 degrees
Closest atoms and distances in Å follow each position.
Sites, in units of the cell vectors:
K1 0.7419 0.3709 0.1128  9 Na 3.94-4.17, 3 In 4.16, 4 K 4.26-4.30
K2 0.2581 0.6291 0.8872  9 Na 3.94-4.17, 3 In 4.16, 4 K 4.26-4.30
Na1 0.5000 0.5000 0.5000  2 In 3.44, 4 Na 3.56
Na2 0.0000 0.0000 0.5000  2 In 3.44, 4 Na 3.56
Na3 0.5000 0.0000 0.5000  2 In 3.41, 4 Na 3.56
In1 0.0000 0.0000 0.0000  6 Na 3.41-3.44

Model b:
Density functional theory data (PBE-GGA) for an optimized crystal structure of K2Na3In.

Output
- crystal system = orthorhombic
- space group = Immm (71)
- Fermi-level density of states (states/eV/cell) = 2.367

Cell lengths 5.7751, 6.8606, 8.0242 Å; angles 115.31, 111.09, 90.00 degrees
Closest atoms and distances in Å follow each position.
Sites, in units of the cell vectors:
K1 0.7046 0.2046 0.4093  6 Na 3.64-3.97, 1 In 3.93
K2 0.2954 0.7954 0.5907  6 Na 3.64-3.97, 1 In 3.93
Na1 0.3866 0.3866 0.7732  1 Na 3.02, 2 In 3.26
Na2 0.0000 0.0000 0.0000  2 In 3.43
Na3 0.6134 0.6134 0.2268  1 Na 3.02, 2 In 3.26
In1 0.0000 0.5000 0.0000  6 Na 3.26-3.43

model a takes first place; second place is 8.8 kJ/mol of atoms up.